1.
! HfAlIn2F | Alexandria via LeMat-Bulk | PBE | optimized geometry; values from VASP
! raw formation energy: 505 meV/atom
! crystal system: tetragonal
&SYSTEM
  ibrav = 0, nat = 5, ntyp = 4
/
ATOMIC_SPECIES
Hf 178.49 Hf.upf
Al 26.98 Al.upf
In 114.82 In.upf
F 19.00 F.upf
ATOMIC_POSITIONS crystal
Hf 0.0000 0.0000 0.0000
Al 0.0000 0.0000 0.5000
In 0.0000 0.5000 0.0000
In 0.5000 0.0000 0.0000
F 0.5000 0.5000 0.5000
CELL_PARAMETERS angstrom
5.7430 0.0000 0.0000
0.0000 5.7430 0.0000
0.0000 0.0000 5.3946

***

2.
! K3RbAu | Alexandria via LeMat-Bulk | PBE | optimized geometry; values from VASP
! distance to the lowest polymorph of the same formula: 0.02 eV per formula unit
! crystal system: triclinic
! formation energy: -0.129 eV per atom
&SYSTEM
  ibrav = 0, nat = 10, ntyp = 3
/
ATOMIC_SPECIES
K 39.10 K.upf
Rb 85.47 Rb.upf
Au 196.97 Au.upf
ATOMIC_POSITIONS crystal
K 0.0000 0.0000 0.0000
K 0.0114 0.9086 0.5032
K 0.4479 0.4498 0.3855
K 0.4806 0.9433 0.1519
K 0.5230 0.9158 0.6715
K 0.9193 0.3899 0.5420
Rb 0.3986 0.4591 0.8593
Rb 0.9193 0.4893 0.0445
Au 0.1562 0.7441 0.8145
Au 0.7748 0.6611 0.7163
CELL_PARAMETERS angstrom
8.3530 0.0000 0.0000
-3.2150 7.9542 0.0000
-1.5791 -1.6467 8.7497

***

3.
! Ca3Ir2 | Alexandria via LeMat-Bulk | PBE | optimized geometry; values from VASP
! crystal system: orthorhombic
! formation energy: -0.122 eV per atom
&SYSTEM
  ibrav = 0, nat = 10, ntyp = 2
/
ATOMIC_SPECIES
Ca 40.08 Ca.upf
Ir 192.22 Ir.upf
ATOMIC_POSITIONS crystal
Ca 0.0000 0.0000 0.0000
Ca 0.2046 0.7652 0.5859
Ca 0.2500 0.2500 0.2500
Ca 0.6641 0.8057 0.0454
Ca 0.7652 0.2046 0.4443
Ca 0.8057 0.6641 0.4848
Ir 0.3143 0.6361 0.7493
Ir 0.5007 0.9498 0.9357
Ir 0.6361 0.3143 0.3002
Ir 0.9498 0.5007 0.6139
CELL_PARAMETERS angstrom
0.0000 11.4991 1.6849
6.2127 0.0000 1.6849
6.2127 11.4991 0.0000

***

4.
! LiSi2W | Alexandria via LeMat-Bulk | PBE | optimized geometry; values from VASP
! raw formation energy: -29 meV/atom
! distance to the lowest polymorph of the same formula: 0.12 eV per formula unit
! crystal system: tetragonal
&SYSTEM
  ibrav = 0, nat = 4, ntyp = 3
/
ATOMIC_SPECIES
Li 6.94 Li.upf
Si 28.09 Si.upf
W 183.84 W.upf
ATOMIC_POSITIONS crystal
Li 0.0000 0.0000 0.0000
Si 0.2500 0.7500 0.5000
Si 0.5000 0.5000 0.0000
W 0.7500 0.2500 0.5000
CELL_PARAMETERS angstrom
-1.7997 1.7997 4.1126
1.7997 -1.7997 4.1126
1.7997 1.7997 -4.1126

***

5.
! NpTlRu2O8 | Alexandria via LeMat-Bulk | PBE | optimized geometry; values from VASP
! raw formation energy: -1307 meV/atom
! crystal system: trigonal
&SYSTEM
  ibrav = 0, nat = 12, ntyp = 4
/
ATOMIC_SPECIES
Np 237.00 Np.upf
Tl 204.38 Tl.upf
Ru 101.07 Ru.upf
O 16.00 O.upf
ATOMIC_POSITIONS crystal
Np 0.0000 0.0000 0.0000
Tl 0.0000 0.0000 0.5000
Ru 0.3333 0.6667 0.2618
Ru 0.6667 0.3333 0.7382
O 0.1508 0.3352 0.1586
O 0.1845 0.8492 0.1586
O 0.3333 0.6667 0.4835
O 0.3352 0.1845 0.8414
O 0.6648 0.8155 0.1586
O 0.6667 0.3333 0.5165
O 0.8155 0.1508 0.8414
O 0.8492 0.6648 0.8414
CELL_PARAMETERS angstrom
5.8485 0.0000 0.0000
-2.9243 5.0650 0.0000
0.0000 0.0000 7.8331

***

6.
! HfTeW | Alexandria via LeMat-Bulk | PBE | optimized geometry; values from VASP
! raw formation energy: -291 meV/atom
! crystal system: tetragonal
&SYSTEM
  ibrav = 0, nat = 6, ntyp = 3
/
ATOMIC_SPECIES
Hf 178.49 Hf.upf
Te 127.60 Te.upf
W 183.84 W.upf
ATOMIC_POSITIONS crystal
Hf 0.2500 0.2500 0.2121
Hf 0.7500 0.7500 0.7879
Te 0.2500 0.2500 0.6493
Te 0.7500 0.7500 0.3507
W 0.2500 0.2500 0.9343
W 0.7500 0.7500 0.0657
CELL_PARAMETERS angstrom
3.5331 0.0000 0.0000
0.0000 3.5331 0.0000
0.0000 0.0000 10.7119

***

7.
! Ac2Nd3Hg4 | Alexandria via LeMat-Bulk | PBE | optimized geometry; values from VASP
! distance to the lowest polymorph of the same formula: 0.00 eV per formula unit
! crystal system: monoclinic
! formation energy: -0.398 eV per atom
&SYSTEM
  ibrav = 0, nat = 18, ntyp = 3
/
ATOMIC_SPECIES
Ac 227.00 Ac.upf
Nd 144.24 Nd.upf
Hg 200.59 Hg.upf
ATOMIC_POSITIONS crystal
Ac 0.1916 0.1722 0.0619
Ac 0.1916 0.3278 0.5619
Ac 0.8084 0.6722 0.4381
Ac 0.8084 0.8278 0.9381
Nd 0.2419 0.6602 0.2309
Nd 0.2419 0.8398 0.7309
Nd 0.5000 0.0000 0.5000
Nd 0.5000 0.5000 0.0000
Nd 0.7581 0.1602 0.2691
Nd 0.7581 0.3398 0.7691
Hg 0.0714 0.5461 0.8447
Hg 0.0714 0.9539 0.3447
Hg 0.4987 0.6280 0.6327
Hg 0.4987 0.8720 0.1327
Hg 0.5013 0.1280 0.8673
Hg 0.5013 0.3720 0.3673
Hg 0.9286 0.0461 0.6553
Hg 0.9286 0.4539 0.1553
CELL_PARAMETERS angstrom
9.2580 0.0000 0.0000
0.0000 7.9699 0.0000
-2.9311 0.0000 7.8506

***

8.
! NaPrPt2 | Alexandria via LeMat-Bulk | PBE | optimized geometry; values from VASP
! crystal system: tetragonal
! formation energy: -0.586 eV per atom
&SYSTEM
  ibrav = 0, nat = 4, ntyp = 3
/
ATOMIC_SPECIES
Na 22.99 Na.upf
Pr 140.91 Pr.upf
Pt 195.08 Pt.upf
ATOMIC_POSITIONS crystal
Na 0.0000 0.0000 0.0000
Pr 0.5000 0.5000 0.0000
Pt 0.0000 0.5000 0.5000
Pt 0.5000 0.0000 0.5000
CELL_PARAMETERS angstrom
4.5332 0.0000 0.0000
0.0000 4.5332 0.0000
0.0000 0.0000 4.0272

***

9.
! Ho4CdIr2 | Alexandria via LeMat-Bulk | PBE | optimized geometry; values from VASP
! crystal system: triclinic
! formation energy: -0.617 eV per atom
&SYSTEM
  ibrav = 0, nat = 14, ntyp = 3
/
ATOMIC_SPECIES
Ho 164.93 Ho.upf
Cd 112.41 Cd.upf
Ir 192.22 Ir.upf
ATOMIC_POSITIONS crystal
Ho 0.0000 0.0000 0.0000
Ho 0.0427 0.0164 0.5599
Ho 0.1206 0.5941 0.7154
Ho 0.3730 0.5733 0.1299
Ho 0.5467 0.8744 0.5961
Ho 0.5897 0.4171 0.6821
Ho 0.6381 0.1395 0.2772
Ho 0.8812 0.5805 0.1468
Cd 0.1773 0.3632 0.3715
Cd 0.4413 0.1298 0.9051
Ir 0.2684 0.9556 0.3241
Ir 0.5827 0.7711 0.9525
Ir 0.7345 0.5936 0.4435
Ir 0.9306 0.2885 0.8333
CELL_PARAMETERS angstrom
6.8872 0.0000 0.0000
-1.6304 6.6945 0.0000
-2.6270 -3.3409 7.3999

***

10.
! CaCe2Al | Alexandria via LeMat-Bulk | PBE | optimized geometry; values from VASP
! distance to the lowest polymorph of the same formula: 0.00 eV per formula unit
! crystal system: tetragonal
! formation energy: -0.016 eV per atom
&SYSTEM
  ibrav = 0, nat = 4, ntyp = 3
/
ATOMIC_SPECIES
Ca 40.08 Ca.upf
Ce 140.12 Ce.upf
Al 26.98 Al.upf
ATOMIC_POSITIONS crystal
Ca 0.0000 0.0000 0.0000
Ce 0.5000 0.5000 0.3194
Ce 0.5000 0.5000 0.6806
Al 0.0000 0.0000 0.5000
CELL_PARAMETERS angstrom
3.9979 0.0000 0.0000
0.0000 3.9979 0.0000
0.0000 0.0000 7.5694

***

11.
! YErO2 | Alexandria via LeMat-Bulk | PBE | optimized geometry; values from VASP
! raw formation energy: -2719 meV/atom
! crystal system: trigonal
&SYSTEM
  ibrav = 0, nat = 4, ntyp = 3
/
ATOMIC_SPECIES
Y 88.91 Y.upf
Er 167.26 Er.upf
O 16.00 O.upf
ATOMIC_POSITIONS crystal
Y 0.0000 0.0000 0.0000
Er 0.8219 0.8219 0.8219
O 0.2362 0.2362 0.2362
O 0.4208 0.4208 0.4208
CELL_PARAMETERS angstrom
1.6859 0.9734 5.8338
-1.6859 0.9734 5.8338
0.0000 -1.9467 5.8338

***

12.
! LiTiI6 | Alexandria via LeMat-Bulk | PBE | optimized geometry; values from VASP
! raw formation energy: -646 meV/atom
! distance to the lowest polymorph of the same formula: 0.00 eV per formula unit
! crystal system: monoclinic
&SYSTEM
  ibrav = 0, nat = 8, ntyp = 3
/
ATOMIC_SPECIES
Li 6.94 Li.upf
Ti 47.87 Ti.upf
I 126.90 I.upf
ATOMIC_POSITIONS crystal
Li 0.0000 0.0000 0.0000
Ti 0.5000 0.5000 0.5000
I 0.1341 0.4244 0.2435
I 0.2255 0.2255 0.6753
I 0.4244 0.1341 0.2435
I 0.5756 0.8659 0.7565
I 0.7745 0.7745 0.3247
I 0.8659 0.5756 0.7565
CELL_PARAMETERS angstrom
3.5925 -6.7289 0.0000
3.5925 6.7289 0.0000
-3.1334 0.0000 6.8517

***

| no. | N(E_F) (states/eV/atom) |
| --- | --- |
| 1 | 0.87 |
| 2 | 0.66 |
| 3 | 0.83 |
| 4 | 0.28 |
| 5 | 0.64 |
| 6 | 0.20 |
| 7 | 1.15 |
| 8 | 0.42 |
| 9 | 0.68 |
| 10 | 2.86 |
| 11 | 0.12 |
| 12 | 0.40 |